A geometry-optimized TmLuThCd structure. Source: Alexandria via LeMat-Bulk, functional PBE-GGA.

a b c (Å): 5.4306 5.4306 5.4306
angles (deg): 60.00 60.00 60.00
Fractional coordinates of all 4 atoms:
Lu 0.2500 0.2500 0.2500
Tm 0.0000 0.0000 0.0000
Th 0.5000 0.5000 0.5000
Cd 0.7500 0.7500 0.7500

calculated formation energy	0.040	eV/atom

---

A geometry-optimized YLuThCd structure. Source: Alexandria via LeMat-Bulk, functional PBE-GGA.

a b c (Å): 5.4619 5.4619 5.4619
angles (deg): 60.00 60.00 60.00
Fractional coordinates of all 4 atoms:
Y 0.7500 0.7500 0.7500
Lu 0.5000 0.5000 0.5000
Th 0.2500 0.2500 0.2500
Cd 0.0000 0.0000 0.0000

calculated formation energy	0.025	eV/atom

---

A geometry-optimized LuTiCd structure. Source: Alexandria via LeMat-Bulk, functional PBE-GGA.

a b c (Å): 3.2485 4.9128 4.9128
angles (deg): 120.00 90.00 90.00
Fractional coordinates of all 3 atoms:
Lu 0.6658 0.6667 0.3333
Ti 0.1633 0.3333 0.6667
Cd 0.1710 0.0000 0.0000

calculated formation energy	0.131	eV/atom

---

A geometry-optimized LuTiZnCd structure. Source: Alexandria via LeMat-Bulk, functional PBE-GGA.

a b c (Å): 4.8571 4.8571 4.8571
angles (deg): 60.00 60.00 60.00
Fractional coordinates of all 4 atoms:
Zn 0.0000 0.0000 0.0000
Lu 0.7500 0.7500 0.7500
Ti 0.2500 0.2500 0.2500
Cd 0.5000 0.5000 0.5000

calculated formation energy	-0.087	eV/atom